A relaxed structure of Tb2Lu, computed with PBE.

Lattice parameters (Å, degrees): 6.495 6.495 6.495 60.00 60.00 60.00
Element x y z (fractional)
1 Tb 0.625 0.625 0.125
2 Tb 0.625 0.125 0.625
3 Lu 0.000 0.000 0.000
4 Tb 0.625 0.625 0.625
5 Tb 0.125 0.625 0.625
6 Lu 0.250 0.250 0.250

Spin magnetization, μB/atom: 0.002
Formation energy, eV/f.u.: 0.77
Excess energy over the best structure of this formula in the dataset, meV/atom: 231